1.
Computed, not measured: an optimized crystal structure of ZnCd2HgAu at the GGA-PBE level of DFT.

- uncorrected energy (hartree per atom) = -0.048

a b c (Å): 5.3815 5.3815 4.9729
angles (deg): 90.00 90.00 90.00
Space group P4/mmm (No. 123)
Asymmetric unit:
Zn 0.0000 0.0000 0.0000 [1 per cell]
Cd 0.0000 0.5000 0.5000 [2 per cell]
Hg 0.5000 0.5000 0.0000 [1 per cell]
Au 0.0000 0.0000 0.5000 [1 per cell]

=====

2.
Computed, not measured: an optimized crystal structure of HfSi3Tc at the GGA-PBE level of DFT.

- polymorph energy (0 for the lowest one) (kJ/mol of formula units) = 0

a b c (Å): 4.5920 4.5920 4.5920
angles (deg): 90.00 90.00 90.00
Space group Pm-3m (No. 221)
Asymmetric unit:
Hf 0.0000 0.0000 0.0000 [1 per cell]
Si 0.0000 0.5000 0.5000 [3 per cell]
Tc 0.5000 0.5000 0.5000 [1 per cell]

=====

3.
Computed, not measured: an optimized crystal structure of Nd6TmTl4 at the GGA-PBE level of DFT.

- uncorrected energy (hartree per atom) = -0.148

a b c (Å): 6.6130 6.6130 16.8843
angles (deg): 90.00 90.00 90.00
Space group I-42m (No. 121)
Asymmetric unit:
Nd 0.0000 0.5000 0.0000 [4 per cell]
Nd 0.2374 0.2374 0.1782 [8 per cell]
Tm 0.0000 0.0000 0.5000 [2 per cell]
Tl 0.2416 0.2416 0.3664 [8 per cell]

=====

4.
Computed, not measured: an optimized crystal structure of LiErCdGa at the GGA-PBE level of DFT.

- uncorrected energy (hartree per atom) = -0.109

a b c (Å): 6.9301 6.9301 6.9301
angles (deg): 90.00 90.00 90.00
Space group F-43m (No. 216)
Asymmetric unit:
Li 0.0000 0.0000 0.0000 [4 per cell]
Er 0.0000 0.0000 0.5000 [4 per cell]
Cd 0.2500 0.2500 0.7500 [4 per cell]
Ga 0.2500 0.2500 0.2500 [4 per cell]

=====

5.
Computed, not measured: an optimized crystal structure of HfPtSe2S at the GGA-PBE level of DFT.

- uncorrected energy (hartree per atom) = -0.192

a b c (Å): 5.1691 5.1691 4.7634
angles (deg): 90.00 90.00 90.00
Space group P4/mmm (No. 123)
Asymmetric unit:
Hf 0.0000 0.0000 0.0000 [1 per cell]
Pt 0.5000 0.5000 0.5000 [1 per cell]
Se 0.0000 0.5000 0.0000 [2 per cell]
S 0.0000 0.0000 0.5000 [1 per cell]

=====

6.
Computed, not measured: an optimized crystal structure of NaIrPd3 at the GGA-PBE level of DFT.

- polymorph energy (0 for the lowest one) (kJ/mol of formula units) = 337

a b c (Å): 4.4886 4.4886 4.4886
angles (deg): 90.00 90.00 90.00
Space group Pm-3m (No. 221)
Asymmetric unit:
Na 0.0000 0.0000 0.0000 [1 per cell]
Ir 0.5000 0.5000 0.5000 [1 per cell]
Pd 0.0000 0.0000 0.5000 [3 per cell]

=====

7.
Computed, not measured: an optimized crystal structure of Mg3WI at the GGA-PBE level of DFT.

- polymorph energy (0 for the lowest one) (kJ/mol of formula units) = 287

a b c (Å): 5.3867 5.3867 5.3867
angles (deg): 90.00 90.00 90.00
Space group Pm-3m (No. 221)
Asymmetric unit:
Mg 0.0000 0.0000 0.5000 [3 per cell]
W 0.5000 0.5000 0.5000 [1 per cell]
I 0.0000 0.0000 0.0000 [1 per cell]

=====

8.
Computed, not measured: an optimized crystal structure of Sr5Tl2Ge2 at the GGA-PBE level of DFT.

- uncorrected energy (hartree per atom) = -0.108

a b c (Å): 18.2078 8.2462 8.2347
angles (deg): 90.00 90.00 90.00
Space group Cmce (No. 64)
Asymmetric unit:
Sr 0.0000 0.0000 0.0000 [4 per cell]
Sr 0.1262 0.1802 0.3223 [16 per cell]
Tl 0.2202 0.0000 0.0000 [8 per cell]
Ge 0.0000 0.1114 0.6124 [8 per cell]

=====

Quick rundown of total magnetic moment, same order as above: 0.00 0.00 2.87 0.00 0.24 2.03 3.71 0.00 Bohr magnetons per cell